Record 1
# MnCoTc3

A PBEsol-optimized structure of MnCoTc3 (meta-GGA SCAN, the Alexandria database).

The formation energy comes out at 1.25 eV per atom.

The space group is Pm-3m (No. 221) and the conventional cell measures 4.314, 4.314 and 4.314 Å, with angles of 90.00, 90.00 and 90.00 degrees. The distinct sites, in fractional coordinates, are Mn at (0.000, 0.000, 0.000), Co at (0.500, 0.500, 0.500) and Tc at (0.000, 0.500, 0.500).



Record 2
# Mn2CoTe

A PBEsol-optimized structure of Mn2CoTe (meta-GGA SCAN, the Alexandria database).

The uncorrected formation energy is 13 kJ/mol of atoms.

The space group is P4mm (No. 99) and the conventional cell measures 3.093, 3.093 and 5.630 Å, with angles of 90.00, 90.00 and 90.00 degrees. The distinct sites, in fractional coordinates, are Mn at (0.000, 0.000, 0.000), Mn at (0.500, 0.500, 0.245), Co at (0.500, 0.500, 0.777) and Te at (0.000, 0.000, 0.500).



Record 3
# MnCo2Te

A PBEsol-optimized structure of MnCo2Te (meta-GGA SCAN, the Alexandria database).

The uncorrected formation energy is 13 kJ/mol of atoms.

The space group is I-4m2 (No. 119) and the conventional cell measures 3.636, 3.636 and 7.738 Å, with angles of 90.00, 90.00 and 90.00 degrees. The distinct sites, in fractional coordinates, are Mn at (0.000, 0.000, 0.000), Co at (0.000, 0.000, 0.500), Co at (0.000, 0.500, 0.750) and Te at (0.000, 0.500, 0.250).



Record 4
# MnCo2Te

A PBEsol-optimized structure of MnCo2Te (meta-GGA SCAN, the Alexandria database).

The uncorrected formation energy is 8 kJ/mol of atoms.

The space group is P4/mmm (No. 123) and the conventional cell measures 3.136, 3.136 and 5.561 Å, with angles of 90.00, 90.00 and 90.00 degrees. The distinct sites, in fractional coordinates, are Mn at (0.000, 0.000, 0.000), Co at (0.500, 0.500, 0.236) and Te at (0.000, 0.000, 0.500).



Record 5
# MnCoTe2

A PBEsol-optimized structure of MnCoTe2 (meta-GGA SCAN, the Alexandria database).

The uncorrected formation energy is -12 kJ/mol of atoms.

The space group is P4mm (No. 99) and the conventional cell measures 3.419, 3.419 and 6.811 Å, with angles of 90.00, 90.00 and 90.00 degrees. The distinct sites, in fractional coordinates, are Mn at (0.000, 0.000, 0.000), Co at (0.500, 0.500, 0.799), Te at (0.000, 0.000, 0.635) and Te at (0.500, 0.500, 0.165).



Record 6
# MnCo2Te

A PBEsol-optimized structure of MnCo2Te (meta-GGA SCAN, the Alexandria database).

The uncorrected formation energy is 35 kJ/mol of atoms.

The space group is C2/m (No. 12) and the conventional cell measures 5.176, 8.394 and 2.935 Å, with angles of 90.00, 120.56 and 90.00 degrees. The distinct sites, in fractional coordinates, are Mn at (0.000, 0.000, 0.000), Co at (0.250, 0.250, 0.500) and Te at (0.000, 0.500, 0.000).



Record 7
# MnCoTe2

A PBEsol-optimized structure of MnCoTe2 (meta-GGA SCAN, the Alexandria database).

The uncorrected formation energy is 6 kJ/mol of atoms.

The space group is R-3m (No. 166, hexagonal axes) and the conventional cell measures 3.6299, 3.6299 and 23.8364 Å, with angles of 90.00, 90.00 and 120.00 degrees. The distinct sites, in fractional coordinates, are Mn at (0.0000, 0.0000, 0.0000), Co at (0.0000, 0.0000, 0.5000) and Te at (0.0000, 0.0000, 0.1091).



Record 8
# TiMnCo3

A PBEsol-optimized structure of TiMnCo3 (meta-GGA SCAN, the Alexandria database).

The formation energy comes out at 0.95 eV per atom.

The space group is Pm-3m (No. 221) and the conventional cell measures 4.153, 4.153 and 4.153 Å, with angles of 90.00, 90.00 and 90.00 degrees. The distinct sites, in fractional coordinates, are Ti at (0.000, 0.000, 0.000), Mn at (0.500, 0.500, 0.500) and Co at (0.000, 0.000, 0.500).



Record 9
# MnTl2Co

A PBEsol-optimized structure of MnTl2Co (meta-GGA SCAN, the Alexandria database).

The formation energy comes out at 0.39 eV per atom.

The space group is R3m (No. 160, hexagonal axes) and the conventional cell measures 3.1112, 3.1112 and 26.8889 Å, with angles of 90.00, 90.00 and 120.00 degrees. The distinct sites, in fractional coordinates, are Mn at (0.0000, 0.0000, 0.0000), Tl at (0.0000, 0.0000, 0.2475), Tl at (0.0000, 0.0000, 0.4717) and Co at (0.0000, 0.0000, 0.7256).



Record 10
# MnTl2Co

A PBEsol-optimized structure of MnTl2Co (meta-GGA SCAN, the Alexandria database).

The formation energy comes out at 0.48 eV per atom.

The space group is Fm-3m (No. 225) and the conventional cell measures 6.458, 6.458 and 6.458 Å, with angles of 90.00, 90.00 and 90.00 degrees. The distinct sites, in fractional coordinates, are Mn at (0.000, 0.000, 0.000), Tl at (0.250, 0.250, 0.250) and Co at (0.000, 0.000, 0.500).



Record 11
# MnTlCo

A PBEsol-optimized structure of MnTlCo (meta-GGA SCAN, the Alexandria database).

The formation energy comes out at 0.32 eV per atom.

The space group is P3m1 (No. 156) and the conventional cell measures 4.2197, 4.2197 and 2.9094 Å, with angles of 90.00, 90.00 and 120.00 degrees. The distinct sites, in fractional coordinates, are Mn at (0.0000, 0.0000, 0.0000), Tl at (0.6667, 0.3333, 0.4191) and Co at (0.3333, 0.6667, 0.7958).



Record 12
# MnTl2Co

A PBEsol-optimized structure of MnTl2Co (meta-GGA SCAN, the Alexandria database).

The formation energy comes out at 0.40 eV per atom.

The space group is C2/m (No. 12) and the conventional cell measures 8.713, 3.227 and 5.191 Å, with angles of 90.00, 103.53 and 90.00 degrees. The distinct sites, in fractional coordinates, are Mn at (0.000, 0.000, 0.000), Tl at (0.242, 0.000, 0.739) and Co at (0.000, 0.500, 0.500).



| no. | volume (A^3/atom) | calculated density (g/cm³) | magnetic moment (μB/cell) |
| --- | --- | --- | --- |
| 1 | 16.06 | 8.44 | 3.86 |
| 2 | 13.47 | 9.14 | 2.33 |
| 3 | 12.79 | 9.75 | 12.01 |
| 4 | 13.67 | 9.12 | 6.31 |
| 5 | 19.90 | 7.70 | 2.49 |
| 6 | 13.73 | 9.08 | 13.05 |
| 7 | 22.67 | 6.76 | 11.00 |
| 8 | 14.33 | 6.48 | 6.29 |
| 9 | 18.78 | 11.55 | 16.20 |
| 10 | 16.83 | 12.89 | 20.44 |
| 11 | 14.95 | 11.78 | 5.20 |
| 12 | 17.74 | 12.23 | 11.83 |